Entry 1:
# UGeOs

An optimized crystal structure of UGeOs (PBE-GGA, OQMD via LeMat-Bulk).

Its space-group type is No. 216. Its total moment is 0.1 μB per formula unit. The value obtained for the total energy is -25.14 eV/f.u.

Unit cell a=4.5395 b=4.5395 c=4.5395 alpha=60.00 beta=60.00 gamma=60.00
With the nearest neighbours (Å) after each atom.
Element x y z (fractional)
1 U 0.0000 0.0000 0.0000  4 Ge 2.78, 4 Os 2.78
2 Ge 0.7500 0.7500 0.7500  4 U 2.78
3 Os 0.2500 0.2500 0.2500  4 U 2.78


Entry 2:
# BeCoPd

An optimized crystal structure of BeCoPd (PBE-GGA, OQMD via LeMat-Bulk).

Its energy above the most stable polymorph in this dataset is 0 meV per atom. Its space-group type is No. 216. Its total moment is 1.3 μB per formula unit.

Unit cell a=3.7098 b=3.7098 c=3.7098 alpha=60.00 beta=60.00 gamma=60.00
With the nearest neighbours (Å) after each atom.
Element x y z (fractional)
1 Be 0.0000 0.0000 0.0000  4 Co 2.27, 4 Pd 2.27
2 Co 0.7500 0.7500 0.7500  4 Be 2.27
3 Pd 0.2500 0.2500 0.2500  4 Be 2.27